# 1
Crystalline Ac2YTmO6 at its relaxed geometry, computed with PBE.

Lattice parameters (Å, degrees): 6.0145 6.1778 10.5103 90.00 124.83 90.00
Last column: nearest neighbours and their distance in Å.
Sites, in units of the cell vectors:
Ac 0.2362 0.0467 0.2501  4 O 2.48-2.62
Ac 0.2362 0.4533 0.7501  4 O 2.48-2.62
Ac 0.7638 0.5467 0.2499  4 O 2.48-2.62
Ac 0.7638 0.9533 0.7499  4 O 2.48-2.62
Y 0.5000 0.0000 0.0000  6 O 2.27-2.30
Y 0.5000 0.5000 0.5000  6 O 2.27-2.30
Tm 0.0000 0.0000 0.5000  6 O 2.23-2.26
Tm 0.0000 0.5000 0.0000  6 O 2.23-2.26
O 0.1355 0.2026 0.9384  1 Tm 2.25, 1 Y 2.27, 1 Ac 2.50
O 0.1355 0.2974 0.4384  1 Tm 2.25, 1 Y 2.27, 1 Ac 2.50
O 0.2373 0.6984 0.9393  1 Tm 2.23, 1 Y 2.29, 1 Ac 2.50
O 0.2373 0.8016 0.4393  1 Tm 2.23, 1 Y 2.29, 1 Ac 2.50
O 0.3608 0.0477 0.7474  1 Tm 2.26, 1 Y 2.30, 1 Ac 2.48
O 0.3608 0.4523 0.2474  1 Tm 2.26, 1 Y 2.30, 1 Ac 2.48
O 0.6392 0.5477 0.7526  1 Tm 2.26, 1 Y 2.30, 1 Ac 2.48
O 0.6392 0.9523 0.2526  1 Tm 2.26, 1 Y 2.30, 1 Ac 2.48
O 0.7627 0.1984 0.5607  1 Tm 2.23, 1 Y 2.29, 1 Ac 2.50
O 0.7627 0.3016 0.0607  1 Tm 2.23, 1 Y 2.29, 1 Ac 2.50
O 0.8645 0.7026 0.5616  1 Tm 2.25, 1 Y 2.27, 1 Ac 2.50
O 0.8645 0.7974 0.0616  1 Tm 2.25, 1 Y 2.27, 1 Ac 2.50

Output
ρ	8.4	g/cm3
uncorrected formation energy	-3.474	eV/atom
energy	-8.365	eV/atom
total magnetic moment	0.0	Bohr magnetons per cell

# 2
Crystalline AcUO5 at its relaxed geometry, computed with PBE.

Lattice parameters (Å, degrees): 6.0084 6.0084 6.0084 138.29 109.17 85.71
Last column: nearest neighbours and their distance in Å.
Sites, in units of the cell vectors:
Ac 0.0000 0.0000 0.0000  6 O 2.45-2.57
U 0.5000 0.5000 0.0000  6 O 1.96-2.14
O 0.2036 0.5000 0.7036  1 U 2.06
O 0.2777 0.2777 0.0000  1 U 1.96
O 0.5000 0.0000 0.5000  2 U 2.14
O 0.7223 0.7223 0.0000  1 U 1.96
O 0.7964 0.5000 0.2964  1 U 2.06

Output
ρ	6.9	g/cm3
uncorrected formation energy	-2.932	eV/atom
energy	-8.674	eV/atom
total magnetic moment	0.0	Bohr magnetons per cell

# 3
Crystalline Ac3UO7 at its relaxed geometry, computed with PBE.

Lattice parameters (Å, degrees): 7.0856 7.0856 8.2859 90.00 90.00 110.00
Last column: nearest neighbours and their distance in Å.
Sites, in units of the cell vectors:
Ac 0.0000 0.0000 0.0000  8 O 2.56-2.85
Ac 0.0000 0.0000 0.5000  8 O 2.56-2.85
Ac 0.0289 0.5006 0.7500  7 O 2.44-2.71
Ac 0.4994 0.9711 0.7500  7 O 2.44-2.71
Ac 0.5006 0.0289 0.2500  7 O 2.44-2.71
Ac 0.9711 0.4994 0.2500  7 O 2.44-2.71
U 0.5000 0.5000 0.0000  6 O 2.14-2.23
U 0.5000 0.5000 0.5000  6 O 2.14-2.23
O 0.1290 0.8710 0.2500  4 Ac 2.48-2.56
O 0.1334 0.8666 0.7500  4 Ac 2.44-2.59
O 0.1818 0.4244 0.0263  1 U 2.14
O 0.1818 0.4244 0.4737  1 U 2.14
O 0.4244 0.1818 0.5263  1 U 2.14
O 0.4244 0.1818 0.9737  1 U 2.14
O 0.4290 0.5710 0.7500  2 U 2.23
O 0.5710 0.4290 0.2500  2 U 2.23
O 0.5756 0.8182 0.0263  1 U 2.14
O 0.5756 0.8182 0.4737  1 U 2.14
O 0.8182 0.5756 0.5263  1 U 2.14
O 0.8182 0.5756 0.9737  1 U 2.14
O 0.8666 0.1334 0.2500  4 Ac 2.44-2.59
O 0.8710 0.1290 0.7500  4 Ac 2.48-2.56

Output
ρ	8.8	g/cm3
uncorrected formation energy	-3.455	eV/atom
energy	-8.757	eV/atom
total magnetic moment	2.0	Bohr magnetons per cell

# 4
Crystalline AcUO at its relaxed geometry, computed with PBE.

Lattice parameters (Å, degrees): 5.5160 5.5160 6.3879 112.10 112.10 91.56
Last column: nearest neighbours and their distance in Å.
Sites, in units of the cell vectors:
Ac 0.0000 0.5000 0.0000  2 O 2.53
Ac 0.5000 0.0000 0.0000  2 O 2.53
U 0.1516 0.1516 0.4895  1 O 2.01
U 0.8484 0.8484 0.5105  1 O 2.01
O 0.2221 0.2221 0.2285  1 U 2.01
O 0.7779 0.7779 0.7715  1 U 2.01

Output
ρ	9.8	g/cm3
uncorrected formation energy	-1.220	eV/atom
energy	-8.005	eV/atom
total magnetic moment	1.6	Bohr magnetons per cell

# 5
Crystalline Ac2U3O9 at its relaxed geometry, computed with PBE.

Lattice parameters (Å, degrees): 14.6394 14.6394 14.6394 164.67 164.67 21.74
Last column: nearest neighbours and their distance in Å.
Sites, in units of the cell vectors:
Ac 0.1909 0.1909 0.0000  6 O 2.41-2.59
Ac 0.8091 0.8091 0.0000  6 O 2.41-2.59
U 0.0000 0.0000 0.0000  8 O 2.35-2.39
U 0.4067 0.4067 0.0000  8 O 2.33-2.40
U 0.5933 0.5933 0.0000  8 O 2.33-2.40
O 0.0479 0.5479 0.5000  4 U 2.35-2.39
O 0.1419 0.6419 0.5000  2 U 2.40, 2 Ac 2.41
O 0.3581 0.8581 0.5000  2 U 2.40, 2 Ac 2.41
O 0.4521 0.9521 0.5000  4 U 2.35-2.39
O 0.5456 0.0456 0.5000  4 U 2.35-2.39
O 0.6373 0.1373 0.5000  2 U 2.33, 2 Ac 2.49
O 0.7500 0.2500 0.5000  4 Ac 2.59
O 0.8627 0.3627 0.5000  2 U 2.33, 2 Ac 2.49
O 0.9544 0.4544 0.5000  4 U 2.35-2.39

Output
ρ	9.9	g/cm3
uncorrected formation energy	-3.221	eV/atom
energy	-9.414	eV/atom
total magnetic moment	5.9	Bohr magnetons per cell

# 6
Crystalline Ac2UO5 at its relaxed geometry, computed with PBE.

Lattice parameters (Å, degrees): 10.4914 7.2817 6.6447 90.00 90.00 90.00
Last column: nearest neighbours and their distance in Å.
Sites, in units of the cell vectors:
Ac 0.1697 0.0015 0.0271  8 O 2.55-2.79
Ac 0.1697 0.4985 0.0271  8 O 2.55-2.79
Ac 0.3303 0.5015 0.5271  8 O 2.55-2.79
Ac 0.3303 0.9985 0.5271  8 O 2.55-2.79
Ac 0.6697 0.0015 0.4729  8 O 2.55-2.79
Ac 0.6697 0.4985 0.4729  8 O 2.55-2.79
Ac 0.8303 0.5015 0.9729  8 O 2.55-2.79
Ac 0.8303 0.9985 0.9729  8 O 2.55-2.79
U 0.0003 0.2500 0.5255  6 O 2.27-2.33
U 0.9997 0.7500 0.4745  6 O 2.27-2.33
U 0.5003 0.2500 0.9745  6 O 2.27-2.33
U 0.4997 0.7500 0.0255  6 O 2.27-2.33
O 0.0037 0.2500 0.9618  4 Ac 2.55-2.58
O 0.0888 0.5188 0.6561  2 U 2.27-2.33
O 0.0888 0.9812 0.6561  2 U 2.27-2.33
O 0.1837 0.2500 0.3451  1 U 2.27
O 0.1966 0.7500 0.3324  1 U 2.27
O 0.3034 0.2500 0.8324  1 U 2.27
O 0.3163 0.7500 0.8451  1 U 2.27
O 0.4112 0.0188 0.1561  2 U 2.27-2.33
O 0.4112 0.4812 0.1561  2 U 2.27-2.33
O 0.4963 0.7500 0.4618  4 Ac 2.55-2.58
O 0.5037 0.2500 0.5382  4 Ac 2.55-2.58
O 0.5888 0.5188 0.8439  2 U 2.27-2.33
O 0.5888 0.9812 0.8439  2 U 2.27-2.33
O 0.6837 0.2500 0.1549  1 U 2.27
O 0.6966 0.7500 0.1676  1 U 2.27
O 0.8034 0.2500 0.6676  1 U 2.27
O 0.8163 0.7500 0.6549  1 U 2.27
O 0.9112 0.0188 0.3439  2 U 2.27-2.33
O 0.9112 0.4812 0.3439  2 U 2.27-2.33
O 0.9963 0.7500 0.0382  4 Ac 2.55-2.58

Output
ρ	10.1	g/cm3
uncorrected formation energy	-3.257	eV/atom
energy	-8.794	eV/atom
total magnetic moment	7.9	Bohr magnetons per cell

The highest uncorrected formation energy belongs to which entry? AcUO

What is the formula in the third record? Ac3UO7